## a
Compound: Ag4Hg2Au
Source: the Alexandria database
Functional: PBE
Structure: optimized geometry

a b c (Å): 5.9250 5.9024 5.8930
angles (deg): 60.31 59.93 59.77
Element x y z (fractional)
Ag (0.0000, 0.5000, 0.0000)
Ag (0.0000, 0.5000, 0.5000)
Ag (0.5000, 0.0000, 0.0000)
Ag (0.5000, 0.0000, 0.5000)
Hg (0.0000, 0.0000, 0.5000)
Hg (0.5000, 0.5000, 0.0000)
Au (0.0000, 0.0000, 0.0000)

Total magnetic moment (μB per cell): 0.0

***

## b
Compound: Ag4Hg2Au
Source: the Alexandria database
Functional: PBE
Structure: optimized geometry

a b c (Å): 5.1597 5.1670 10.5212
angles (deg): 98.80 99.45 99.07
Element x y z (fractional)
Ag (0.0000, 0.0000, 0.0000)
Ag (0.0005, 0.9862, 0.4984)
Ag (0.2898, 0.5748, 0.5754)
Ag (0.4422, 0.8563, 0.3611)
Ag (0.5810, 0.1469, 0.1450)
Ag (0.7246, 0.4382, 0.9374)
Ag (0.8619, 0.7126, 0.7177)
Ag (0.8650, 0.7155, 0.2190)
Hg (0.1498, 0.2775, 0.2930)
Hg (0.1510, 0.2908, 0.7892)
Hg (0.2962, 0.5845, 0.0784)
Hg (0.5742, 0.1379, 0.6384)
Au (0.4445, 0.8672, 0.8620)
Au (0.7263, 0.4356, 0.4323)

Total magnetic moment (μB per cell): 0.0

***

b is the most stable structure; the next one sits 35 meV/atom above it.

***

## a
Compound: Ag3HgAu2
Source: the Alexandria database
Functional: PBE
Structure: optimized geometry

a b c (Å): 5.8284 5.4501 7.7920
angles (deg): 90.00 110.65 90.00
Element x y z (fractional)
Ag (0.0660, 0.2500, 0.1486)
Ag (0.1519, 0.2500, 0.8044)
Ag (0.4322, 0.7500, 0.8509)
Ag (0.5678, 0.2500, 0.1491)
Ag (0.8481, 0.7500, 0.1956)
Ag (0.9340, 0.7500, 0.8514)
Hg (0.3464, 0.7500, 0.1915)
Hg (0.6536, 0.2500, 0.8085)
Au (0.2467, 0.0001, 0.4998)
Au (0.2467, 0.4999, 0.4998)
Au (0.7533, 0.9999, 0.5002)
Au (0.7533, 0.5001, 0.5002)

Total magnetic moment (μB per cell): 0.0

***

## b
Compound: Ag3HgAu2
Source: the Alexandria database
Functional: PBE
Structure: optimized geometry

a b c (Å): 5.1249 5.1249 9.8011
angles (deg): 90.00 90.00 60.08
Element x y z (fractional)
Ag (0.0000, 0.0000, 0.0000)
Ag (0.0000, 0.0000, 0.5000)
Ag (0.3304, 0.3304, 0.0000)
Ag (0.3304, 0.3304, 0.5000)
Ag (0.6696, 0.6696, 0.0000)
Ag (0.6696, 0.6696, 0.5000)
Hg (0.3339, 0.6661, 0.7500)
Hg (0.6661, 0.3339, 0.2500)
Au (0.0024, 0.6661, 0.2500)
Au (0.3339, 0.9976, 0.2500)
Au (0.6661, 0.0024, 0.7500)
Au (0.9976, 0.3339, 0.7500)

Total magnetic moment (μB per cell): 0.0

***

b is the most stable structure; the next one sits 48 meV/atom above it.

***

## a
Compound: AgHg2Au2
Source: the Alexandria database
Functional: PBE
Structure: optimized geometry

a b c (Å): 7.3283 7.3283 3.9354
angles (deg): 90.00 90.00 90.00
Element x y z (fractional)
Ag (0.0000, 0.0000, 0.0000)
Ag (0.5000, 0.5000, 0.0000)
Hg (0.1674, 0.3326, 0.5000)
Hg (0.3326, 0.8326, 0.5000)
Hg (0.6674, 0.1674, 0.5000)
Hg (0.8326, 0.6674, 0.5000)
Au (0.1370, 0.6370, 0.0000)
Au (0.3630, 0.1370, 0.0000)
Au (0.6370, 0.8630, 0.0000)
Au (0.8630, 0.3630, 0.0000)

Total magnetic moment (μB per cell): 0.0

***

## b
Compound: AgHg2Au2
Source: the Alexandria database
Functional: PBE
Structure: optimized geometry

a b c (Å): 7.8385 7.8385 7.8385
angles (deg): 151.45 151.45 40.81
Element x y z (fractional)
Ag (0.0000, 0.0000, 0.0000)
Hg (0.4029, 0.4029, 0.0000)
Hg (0.5971, 0.5971, 0.0000)
Au (0.2500, 0.7500, 0.5000)
Au (0.7500, 0.2500, 0.5000)

Total magnetic moment (μB per cell): 0.0

***

a is the most stable structure; the next one sits 38 meV/atom above it.

***

## a
Compound: AgHg2Au2
Source: the Alexandria database
Functional: PBE
Structure: optimized geometry

a b c (Å): 7.8154 7.8154 3.4410
angles (deg): 90.00 90.00 90.00
Element x y z (fractional)
Ag (0.0000, 0.0000, 0.0000)
Ag (0.5000, 0.5000, 0.0000)
Hg (0.1628, 0.3372, 0.0000)
Hg (0.3372, 0.8372, 0.0000)
Hg (0.6628, 0.1628, 0.0000)
Hg (0.8372, 0.6628, 0.0000)
Au (0.1371, 0.6371, 0.5000)
Au (0.3629, 0.1371, 0.5000)
Au (0.6371, 0.8629, 0.5000)
Au (0.8629, 0.3629, 0.5000)

Total magnetic moment (μB per cell): 0.0

***

## b
Compound: AgHg2Au2
Source: the Alexandria database
Functional: PBE
Structure: optimized geometry

a b c (Å): 7.4713 7.4713 7.4713
angles (deg): 148.73 148.73 44.81
Element x y z (fractional)
Ag (0.0000, 0.0000, 0.0000)
Hg (0.2500, 0.7500, 0.5000)
Hg (0.7500, 0.2500, 0.5000)
Au (0.4044, 0.4044, 0.0000)
Au (0.5956, 0.5956, 0.0000)

Total magnetic moment (μB per cell): 0.0

***

a is the most stable structure; the next one sits 52 meV/atom above it.

***

## a
Compound: Ag5Hg2Au2
Source: the Alexandria database
Functional: PBE
Structure: optimized geometry

a b c (Å): 7.8767 7.8767 7.2616
angles (deg): 90.00 90.00 56.13
Element x y z (fractional)
Ag (0.0000, 0.0000, 0.0000)
Ag (0.0315, 0.7046, 0.6677)
Ag (0.2046, 0.5315, 0.1677)
Ag (0.2954, 0.9685, 0.6677)
Ag (0.4685, 0.7954, 0.1677)
Ag (0.5000, 0.5000, 0.5000)
Ag (0.5315, 0.2046, 0.8323)
Ag (0.7046, 0.0315, 0.3323)
Ag (0.7954, 0.4685, 0.8323)
Ag (0.9685, 0.2954, 0.3323)
Hg (0.2077, 0.2077, 0.0000)
Hg (0.2923, 0.2923, 0.5000)
Hg (0.7077, 0.7077, 0.5000)
Hg (0.7923, 0.7923, 0.0000)
Au (0.1369, 0.8631, 0.3674)
Au (0.3631, 0.6369, 0.8674)
Au (0.6369, 0.3631, 0.1326)
Au (0.8631, 0.1369, 0.6326)

Total magnetic moment (μB per cell): 0.0

***

## b
Compound: Ag5Hg2Au2
Source: the Alexandria database
Functional: PBE
Structure: optimized geometry

a b c (Å): 2.9304 6.2987 10.0790
angles (deg): 82.68 89.40 76.91
Element x y z (fractional)
Ag (0.0000, 0.0000, 0.0000)
Ag (0.2170, 0.5720, 0.6112)
Ag (0.3850, 0.2223, 0.1912)
Ag (0.6150, 0.7777, 0.8088)
Ag (0.7830, 0.4280, 0.3888)
Hg (0.0580, 0.8686, 0.3538)
Hg (0.9420, 0.1314, 0.6462)
Au (0.3114, 0.3823, 0.8954)
Au (0.6886, 0.6177, 0.1046)

Total magnetic moment (μB per cell): 0.0

***

b is the most stable structure; the next one sits 50 meV/atom above it.

***

## a
Compound: AgHgAu
Source: the Alexandria database
Functional: PBE
Structure: optimized geometry

a b c (Å): 5.2090 5.2090 5.2090
angles (deg): 145.92 132.40 59.83
Element x y z (fractional)
Ag (0.0000, 0.0000, 0.0000)
Hg (0.3309, 0.3309, 0.0000)
Au (0.6609, 0.6609, 0.0000)

Total magnetic moment (μB per cell): 0.0

***

## b
Compound: AgHgAu
Source: the Alexandria database
Functional: PBE
Structure: optimized geometry

a b c (Å): 4.8128 4.8128 2.9215
angles (deg): 90.00 90.00 120.00
Element x y z (fractional)
Ag (0.0000, 0.0000, 0.0000)
Hg (0.3333, 0.6667, 0.5908)
Au (0.6667, 0.3333, 0.3890)

Total magnetic moment (μB per cell): 0.0

***

## c
Compound: AgHgAu
Source: the Alexandria database
Functional: PBE
Structure: optimized geometry

a b c (Å): 4.2647 5.3561 5.9736
angles (deg): 69.95 89.61 66.94
Element x y z (fractional)
Ag (0.0073, 0.4875, 0.2594)
Ag (0.9927, 0.5125, 0.7406)
Hg (0.3296, 0.8358, 0.9029)
Hg (0.6704, 0.1642, 0.0971)
Au (0.3396, 0.8216, 0.4108)
Au (0.6604, 0.1784, 0.5892)

Total magnetic moment (μB per cell): 0.0

***

## d
Compound: AgHgAu
Source: the Alexandria database
Functional: PBE
Structure: optimized geometry

a b c (Å): 6.8227 6.8227 6.8227
angles (deg): 154.58 154.58 36.26
Element x y z (fractional)
Ag (0.0000, 0.0000, 0.0000)
Hg (0.6701, 0.6701, 0.0000)
Au (0.3442, 0.3442, 0.0000)

Total magnetic moment (μB per cell): 0.0

***

c is the most stable structure; the next one sits 9 meV/atom above it.

***

## a
Compound: Ag4HgAu6
Source: the Alexandria database
Functional: PBE
Structure: optimized geometry

a b c (Å): 7.2059 7.2059 7.2059
angles (deg): 125.66 125.66 80.45
Element x y z (fractional)
Ag (0.2339, 0.2339, 0.6874)
Ag (0.4535, 0.7661, 0.0000)
Ag (0.5465, 0.5465, 0.3126)
Ag (0.7661, 0.4535, 0.0000)
Hg (0.0000, 0.0000, 0.0000)
Au (0.0000, 0.5000, 0.5000)
Au (0.0924, 0.5996, 0.0000)
Au (0.4004, 0.4004, 0.4928)
Au (0.5000, 0.0000, 0.5000)
Au (0.5996, 0.0924, 0.0000)
Au (0.9076, 0.9076, 0.5072)

Total magnetic moment (μB per cell): 0.0

***

## b
Compound: Ag4HgAu6
Source: the Alexandria database
Functional: PBE
Structure: optimized geometry

a b c (Å): 7.7898 7.7898 4.3220
angles (deg): 90.00 90.00 120.00
Element x y z (fractional)
Ag (0.0000, 0.0000, 0.0000)
Ag (0.0684, 0.5342, 0.5000)
Ag (0.4658, 0.5342, 0.5000)
Ag (0.4658, 0.9316, 0.5000)
Hg (0.6667, 0.3333, 0.0000)
Au (0.2028, 0.4057, 0.0000)
Au (0.2028, 0.7972, 0.0000)
Au (0.2612, 0.1306, 0.5000)
Au (0.5943, 0.7972, 0.0000)
Au (0.8694, 0.1306, 0.5000)
Au (0.8694, 0.7388, 0.5000)

Total magnetic moment (μB per cell): 0.0

***

b is the most stable structure; the next one sits 38 meV/atom above it.

***

## a
Compound: AgHgAu4
Source: the Alexandria database
Functional: PBE
Structure: optimized geometry

a b c (Å): 5.5518 5.5518 5.5518
angles (deg): 60.00 60.00 60.00
Element x y z (fractional)
Ag (0.0000, 0.0000, 0.0000)
Hg (0.2500, 0.2500, 0.2500)
Au (0.1248, 0.6251, 0.6251)
Au (0.6251, 0.1248, 0.6251)
Au (0.6251, 0.6251, 0.1248)
Au (0.6251, 0.6251, 0.6251)

Total magnetic moment (μB per cell): 0.0

***

## b
Compound: AgHgAu4
Source: the Alexandria database
Functional: PBE
Structure: optimized geometry

a b c (Å): 5.1907 5.1907 5.1198
angles (deg): 99.23 99.23 121.21
Element x y z (fractional)
Ag (0.0000, 0.0000, 0.0000)
Hg (0.5000, 0.5000, 0.5000)
Au (0.1656, 0.8344, 0.5000)
Au (0.3309, 0.6691, 0.0000)
Au (0.6691, 0.3309, 0.0000)
Au (0.8344, 0.1656, 0.5000)

Total magnetic moment (μB per cell): 0.0

***

b is the most stable structure; the next one sits 38 meV/atom above it.

***

## a
Compound: Ag2HgAu8
Source: the Alexandria database
Functional: PBE
Structure: optimized geometry

a b c (Å): 7.8595 7.8595 6.5810
angles (deg): 103.58 103.58 30.75
Element x y z (fractional)
Ag (0.2266, 0.2266, 0.1348)
Ag (0.7734, 0.7734, 0.8652)
Hg (0.5000, 0.5000, 0.5000)
Au (0.0470, 0.0470, 0.2237)
Au (0.1391, 0.1391, 0.6863)
Au (0.3165, 0.3165, 0.5902)
Au (0.4075, 0.4075, 0.0437)
Au (0.5925, 0.5925, 0.9563)
Au (0.6835, 0.6835, 0.4098)
Au (0.8609, 0.8609, 0.3137)
Au (0.9530, 0.9530, 0.7763)

Total magnetic moment (μB per cell): 0.0

***

## b
Compound: Ag2HgAu8
Source: the Alexandria database
Functional: PBE
Structure: optimized geometry

a b c (Å): 7.0655 7.0655 4.9726
angles (deg): 102.78 102.78 84.33
Element x y z (fractional)
Ag (0.1490, 0.1490, 0.0538)
Ag (0.8510, 0.8510, 0.9462)
Hg (0.0000, 0.0000, 0.5000)
Au (0.1640, 0.6677, 0.7045)
Au (0.2800, 0.2800, 0.6226)
Au (0.3323, 0.8360, 0.2955)
Au (0.4276, 0.4276, 0.2067)
Au (0.5724, 0.5724, 0.7933)
Au (0.6677, 0.1640, 0.7045)
Au (0.7200, 0.7200, 0.3774)
Au (0.8360, 0.3323, 0.2955)

Total magnetic moment (μB per cell): 0.0

***

a is the most stable structure; the next one sits 203 meV/atom above it.

***

## a
Compound: Ag2Hg2Au
Source: the Alexandria database
Functional: PBE
Structure: optimized geometry

a b c (Å): 7.6540 7.6540 3.5801
angles (deg): 90.00 90.00 90.00
Element x y z (fractional)
Ag (0.1433, 0.3567, 0.0000)
Ag (0.3567, 0.8567, 0.0000)
Ag (0.6433, 0.1433, 0.0000)
Ag (0.8567, 0.6433, 0.0000)
Hg (0.1552, 0.6552, 0.5000)
Hg (0.3448, 0.1552, 0.5000)
Hg (0.6552, 0.8448, 0.5000)
Hg (0.8448, 0.3448, 0.5000)
Au (0.0000, 0.0000, 0.5000)
Au (0.5000, 0.5000, 0.5000)

Total magnetic moment (μB per cell): 0.0

***

## b
Compound: Ag2Hg2Au
Source: the Alexandria database
Functional: PBE
Structure: optimized geometry

a b c (Å): 5.6981 5.7011 7.0658
angles (deg): 75.06 70.63 86.37
Element x y z (fractional)
Ag (0.0096, 0.3613, 0.3598)
Ag (0.2716, 0.0818, 0.6267)
Ag (0.7284, 0.9182, 0.3733)
Ag (0.9904, 0.6387, 0.6402)
Hg (0.3013, 0.9255, 0.2222)
Hg (0.4584, 0.5598, 0.7485)
Hg (0.5416, 0.4402, 0.2515)
Hg (0.6987, 0.0745, 0.7778)
Au (0.0102, 0.2528, 0.9847)
Au (0.9898, 0.7472, 0.0153)

Total magnetic moment (μB per cell): 0.0

***

## c
Compound: Ag2Hg2Au
Source: the Alexandria database
Functional: PBE
Structure: optimized geometry

a b c (Å): 7.2742 7.2742 4.0186
angles (deg): 90.00 90.00 90.00
Element x y z (fractional)
Ag (0.1397, 0.3603, 0.0000)
Ag (0.3603, 0.8603, 0.0000)
Ag (0.6397, 0.1397, 0.0000)
Ag (0.8603, 0.6397, 0.0000)
Hg (0.1621, 0.6621, 0.5000)
Hg (0.3379, 0.1621, 0.5000)
Hg (0.6621, 0.8379, 0.5000)
Hg (0.8379, 0.3379, 0.5000)
Au (0.0000, 0.0000, 0.0000)
Au (0.5000, 0.5000, 0.0000)

Total magnetic moment (μB per cell): 0.0

***

b is the most stable structure; the next one sits 77 meV/atom above it.